1.
The following is a DFT calculation (PBE-GGA) of an optimized crystal structure of MgCd2Au.

Summary:
- raw total energy (eV for the cell shown) = -7.20
- volume (Å³/f.u.) = 84.3

a b c (Å): 9.842 9.842 9.842
angles (deg): 18.55 18.55 18.55
Atoms (fractional coordinates):
Au (0.755, 0.755, 0.755)
Cd (0.007, 0.007, 0.007)
Cd (0.247, 0.247, 0.247)
Mg (0.492, 0.492, 0.492)

***

2.
The following is a DFT calculation (PBE-GGA) of an optimized crystal structure of MgCd2Au.

Summary:
- raw total energy (eV for the cell shown) = -7.59
- volume (Å³/f.u.) = 80.9

a b c (Å): 5.255 5.255 4.597
angles (deg): 71.71 71.71 42.56
Atoms (fractional coordinates):
Au (0.750, 0.750, 0.750)
Cd (0.007, 0.007, 0.991)
Cd (0.493, 0.493, 0.509)
Mg (0.250, 0.250, 0.250)

***

3.
The following is a DFT calculation (PBE-GGA) of an optimized crystal structure of Mg2CdAu2.

Summary:
- raw total energy (eV for the cell shown) = -12.10
- volume (Å³/f.u.) = 107.4

a b c (Å): 4.175 4.175 6.832
angles (deg): 72.21 72.21 90.00
Atoms (fractional coordinates):
Mg (0.250, 0.750, 0.500)
Mg (0.750, 0.250, 0.500)
Au (0.389, 0.389, 0.221)
Au (0.611, 0.611, 0.779)
Cd (0.000, 0.000, 0.000)

***

4.
The following is a DFT calculation (PBE-GGA) of an optimized crystal structure of MgCd2Au.

Summary:
- raw total energy (eV for the cell shown) = -7.69
- volume (Å³/f.u.) = 80.7

a b c (Å): 3.345 3.668 6.580
angles (deg): 90.00 90.00 90.00
Atoms (fractional coordinates):
Mg (0.000, 0.000, 0.528)
Cd (0.500, 0.500, 0.256)
Cd (0.000, 0.000, 0.988)
Au (0.500, 0.500, 0.727)

***

5.
The following is a DFT calculation (PBE-GGA) of an optimized crystal structure of MgCdAu4.

Summary:
- energy above the lowest structure with this stoichiometry (kcal/mol of atoms) = 1.58
- volume (Å³/f.u.) = 128.9

a b c (Å): 3.950 3.954 8.256
angles (deg): 89.99 90.00 90.00
Atoms (fractional coordinates):
Cd (0.001, 0.997, 0.498)
Au (0.501, 0.997, 0.238)
Au (0.001, 0.498, 0.758)
Au (0.501, 0.998, 0.758)
Au (0.001, 0.497, 0.238)
Mg (0.501, 0.497, 0.998)

***

6.
The following is a DFT calculation (PBE-GGA) of an optimized crystal structure of Mg2CdAu.

Summary:
- energy above the lowest structure with this stoichiometry (kcal/mol of atoms) = 1.47
- volume (Å³/f.u.) = 79.4

a b c (Å): 5.291 5.291 4.781
angles (deg): 74.31 74.31 38.24
Atoms (fractional coordinates):
Au (0.503, 0.503, 0.463)
Mg (0.235, 0.235, 0.294)
Mg (0.004, 0.004, 0.975)
Cd (0.759, 0.759, 0.768)

***

7.
The following is a DFT calculation (PBE-GGA) of an optimized crystal structure of Mg2CdAu.

Summary:
- energy above the lowest structure with this stoichiometry (kcal/mol of atoms) = 7.91
- volume (Å³/f.u.) = 96.7

a b c (Å): 7.240 7.240 7.240
angles (deg): 46.38 156.12 140.85
Atoms (fractional coordinates):
Cd (0.000, 0.000, 0.000)
Au (0.000, 0.500, 0.500)
Mg (0.000, 0.703, 0.703)
Mg (0.000, 0.297, 0.297)

***

8.
The following is a DFT calculation (PBE-GGA) of an optimized crystal structure of Mg7Cd2Au2.

Summary:
- energy above the lowest structure with this stoichiometry (kcal/mol of atoms) = 2.82
- volume (Å³/f.u.) = 263.6

a b c (Å): 6.362 6.687 6.362
angles (deg): 90.03 103.10 89.97
Atoms (fractional coordinates):
Mg (0.500, 0.246, 0.500)
Mg (0.500, 0.268, 0.000)
Mg (0.500, 0.754, 0.500)
Mg (0.000, 0.000, 0.000)
Mg (0.000, 0.732, 0.500)
Mg (0.000, 0.268, 0.500)
Mg (0.500, 0.732, 0.000)
Cd (0.819, 0.500, 0.819)
Cd (0.181, 0.500, 0.181)
Au (0.279, 0.000, 0.721)
Au (0.721, 0.000, 0.279)